Entry 1:
# Ba6In2NCl (PBE-GGA, optimized geometry)
# Raw total energy = -3.415 eV per atom
# Mass density = 4.6 g/cm3
# Calculated volume = 795.19 Å³/cell
data_Ba6In2NCl
_symmetry_space_group_name_H-M 'P 1 21/c 1'
_symmetry_Int_Tables_number 14
_cell_length_a 8.142
_cell_length_b 8.371
_cell_length_c 14.211
_cell_angle_alpha 90.00
_cell_angle_beta 124.81
_cell_angle_gamma 90.00
loop_
_symmetry_equiv_pos_as_xyz
'x,y,z'
'-x,-y,-z'
'-x,y+1/2,-z+1/2'
'x,-y+1/2,z+1/2'
loop_
_atom_site_label
_atom_site_type_symbol
_atom_site_fract_x
_atom_site_fract_y
_atom_site_fract_z
Ba1 Ba 0.148 0.229 0.459
Ba2 Ba 0.231 0.692 0.458
Ba3 Ba 0.310 0.015 0.230
In1 In 0.231 0.049 0.747
N1 N 0.000 0.000 0.000
Cl1 Cl 0.500 0.000 0.500


Entry 2:
# BaNaInCl6 (PBE-GGA, optimized geometry)
# Raw total energy = -3.624 eV per atom
# Mass density = 2.9 g/cm3
# Calculated volume = 558.43 Å³/cell
data_BaNaInCl6
_symmetry_space_group_name_H-M 'P -3 1 c'
_symmetry_Int_Tables_number 163
_symmetry_space_group_name_Hall '-P 3 2c'
_cell_length_a 7.0287
_cell_length_b 7.0287
_cell_length_c 13.0521
_cell_angle_alpha 90.00
_cell_angle_beta 90.00
_cell_angle_gamma 120.00
loop_
_atom_site_label
_atom_site_type_symbol
_atom_site_fract_x
_atom_site_fract_y
_atom_site_fract_z
Ba1 Ba 0.0000 0.0000 0.0000
Na1 Na 0.3333 0.6667 0.2500
In1 In 0.3333 0.6667 0.7500
Cl1 Cl 0.0279 0.3771 0.6371


Entry 3:
# BaNa2InCl8 (PBE-GGA, optimized geometry)
# Raw total energy = -3.296 eV per atom
# Mass density = 2.9 g/cm3
# Calculated volume = 330.07 Å³/cell
data_BaNa2InCl8
_symmetry_space_group_name_H-M 'P -3'
_symmetry_Int_Tables_number 147
_cell_length_a 6.8112
_cell_length_b 6.8112
_cell_length_c 8.2153
_cell_angle_alpha 90.00
_cell_angle_beta 90.00
_cell_angle_gamma 120.00
loop_
_symmetry_equiv_pos_as_xyz
'x,y,z'
'-x,-y,-z'
'-y,x-y,z'
'y,-x+y,-z'
'-x+y,-x,z'
'x-y,x,-z'
loop_
_atom_site_label
_atom_site_type_symbol
_atom_site_fract_x
_atom_site_fract_y
_atom_site_fract_z
Ba1 Ba 0.0000 0.0000 0.0000
Na1 Na 0.3333 0.6667 0.6027
In1 In 0.0000 0.0000 0.5000
Cl1 Cl 0.0641 0.7375 0.3176
Cl2 Cl 0.3333 0.6667 0.9593


Entry 4:
# BaNaIn2Cl (PBE-GGA, optimized geometry)
# Raw total energy = -1.659 eV per atom
# Mass density = 2.2 g/cm3
# Calculated volume = 322.62 Å³/cell
data_BaNaIn2Cl
_symmetry_space_group_name_H-M 'P 4/m m m'
_symmetry_Int_Tables_number 123
_symmetry_space_group_name_Hall '-P 4 2'
_cell_length_a 6.651
_cell_length_b 6.651
_cell_length_c 7.293
_cell_angle_alpha 90.00
_cell_angle_beta 90.00
_cell_angle_gamma 90.00
loop_
_atom_site_label
_atom_site_type_symbol
_atom_site_fract_x
_atom_site_fract_y
_atom_site_fract_z
Ba1 Ba 0.000 0.000 0.000
Na1 Na 0.000 0.000 0.500
In1 In 0.000 0.500 0.000
Cl1 Cl 0.500 0.500 0.500


Entry 5:
# BaNbIn2Cl8 (PBE-GGA, optimized geometry)
# Raw total energy = -4.083 eV per atom
# Mass density = 2.9 g/cm3
# Calculated volume = 422.98 Å³/cell
data_BaNbIn2Cl8
_symmetry_space_group_name_H-M 'P -1'
_symmetry_Int_Tables_number 2
_cell_length_a 6.701
_cell_length_b 7.287
_cell_length_c 8.668
_cell_angle_alpha 89.81
_cell_angle_beta 89.84
_cell_angle_gamma 87.92
loop_
_symmetry_equiv_pos_as_xyz
'x,y,z'
'-x,-y,-z'
loop_
_atom_site_label
_atom_site_type_symbol
_atom_site_fract_x
_atom_site_fract_y
_atom_site_fract_z
Ba1 Ba 0.000 0.000 0.000
Nb1 Nb 0.000 0.000 0.500
In1 In 0.500 0.499 0.259
Cl1 Cl 0.123 0.211 0.297
Cl2 Cl 0.125 0.210 0.702
Cl3 Cl 0.311 0.836 0.499
Cl4 Cl 0.368 0.731 0.000


Entry 6:
# BaNpInCl6 (PBE-GGA, optimized geometry)
# Raw total energy = -4.955 eV per atom
# Mass density = 3.5 g/cm3
# Calculated volume = 670.42 Å³/cell
data_BaNpInCl6
_symmetry_space_group_name_H-M 'P -3 1 c'
_symmetry_Int_Tables_number 163
_symmetry_space_group_name_Hall '-P 3 2c'
_cell_length_a 7.7732
_cell_length_b 7.7732
_cell_length_c 12.8119
_cell_angle_alpha 90.00
_cell_angle_beta 90.00
_cell_angle_gamma 120.00
loop_
_atom_site_label
_atom_site_type_symbol
_atom_site_fract_x
_atom_site_fract_y
_atom_site_fract_z
Ba1 Ba 0.3333 0.6667 0.2500
Np1 Np 0.3333 0.6667 0.7500
In1 In 0.0000 0.0000 0.0000
Cl1 Cl 0.0344 0.3760 0.6321


Entry 7:
# BaInClO2 (PBE-GGA, optimized geometry)
# Raw total energy = -5.217 eV per atom
# Mass density = 4.8 g/cm3
# Calculated volume = 111.45 Å³/cell
data_BaInClO2
_symmetry_space_group_name_H-M 'P 4 m m'
_symmetry_Int_Tables_number 99
_cell_length_a 4.202
_cell_length_b 4.202
_cell_length_c 6.311
_cell_angle_alpha 90.00
_cell_angle_beta 90.00
_cell_angle_gamma 90.00
loop_
_symmetry_equiv_pos_as_xyz
'x,y,z'
'-y,x,z'
'-x,-y,z'
'y,-x,z'
'-x,y,z'
'y,x,z'
'x,-y,z'
'-y,-x,z'
loop_
_atom_site_label
_atom_site_type_symbol
_atom_site_fract_x
_atom_site_fract_y
_atom_site_fract_z
Ba1 Ba 0.000 0.000 0.000
In1 In 0.500 0.500 0.337
Cl1 Cl 0.500 0.500 0.749
O1 O 0.000 0.500 0.247


Entry 8:
# BaInPCl2 (PBE-GGA, optimized geometry)
# Energy above the most stable polymorph in this dataset = 0.000 eV per atom
# Raw total energy = -3.740 eV per atom
# Mass density = 4.0 g/cm3
# Calculated volume = 145.48 Å³/cell
data_BaInPCl2
_symmetry_space_group_name_H-M 'P 4/m m m'
_symmetry_Int_Tables_number 123
_symmetry_space_group_name_Hall '-P 4 2'
_cell_length_a 5.318
_cell_length_b 5.318
_cell_length_c 5.145
_cell_angle_alpha 90.00
_cell_angle_beta 90.00
_cell_angle_gamma 90.00
loop_
_atom_site_label
_atom_site_type_symbol
_atom_site_fract_x
_atom_site_fract_y
_atom_site_fract_z
Ba1 Ba 0.000 0.000 0.000
In1 In 0.500 0.500 0.500
P1 P 0.500 0.500 0.000
Cl1 Cl 0.000 0.500 0.500


Entry 9:
# BaInPCl2 (PBE-GGA, optimized geometry)
# Energy above the most stable polymorph in this dataset = 0.352 eV per atom
# Raw total energy = -3.388 eV per atom
# Mass density = 2.4 g/cm3
# Calculated volume = 242.79 Å³/cell
data_BaInPCl2
_symmetry_space_group_name_H-M 'P 4/m m m'
_symmetry_Int_Tables_number 123
_symmetry_space_group_name_Hall '-P 4 2'
_cell_length_a 5.995
_cell_length_b 5.995
_cell_length_c 6.756
_cell_angle_alpha 90.00
_cell_angle_beta 90.00
_cell_angle_gamma 90.00
loop_
_atom_site_label
_atom_site_type_symbol
_atom_site_fract_x
_atom_site_fract_y
_atom_site_fract_z
Ba1 Ba 0.000 0.000 0.000
In1 In 0.500 0.500 0.500
P1 P 0.000 0.000 0.500
Cl1 Cl 0.000 0.500 0.000


Entry 10:
# BaInPbCl2 (PBE-GGA, optimized geometry)
# Raw total energy = -2.814 eV per atom
# Mass density = 4.2 g/cm3
# Calculated volume = 210.11 Å³/cell
data_BaInPbCl2
_symmetry_space_group_name_H-M 'P 4/m m m'
_symmetry_Int_Tables_number 123
_symmetry_space_group_name_Hall '-P 4 2'
_cell_length_a 5.504
_cell_length_b 5.504
_cell_length_c 6.937
_cell_angle_alpha 90.00
_cell_angle_beta 90.00
_cell_angle_gamma 90.00
loop_
_atom_site_label
_atom_site_type_symbol
_atom_site_fract_x
_atom_site_fract_y
_atom_site_fract_z
Ba1 Ba 0.000 0.000 0.000
In1 In 0.000 0.000 0.500
Pb1 Pb 0.500 0.500 0.000
Cl1 Cl 0.000 0.500 0.500


Entry 11:
# BaPmInCl6 (PBE-GGA, optimized geometry)
# Raw total energy = -4.302 eV per atom
# Mass density = 3.0 g/cm3
# Calculated volume = 670.96 Å³/cell
data_BaPmInCl6
_symmetry_space_group_name_H-M 'P -3 1 c'
_symmetry_Int_Tables_number 163
_symmetry_space_group_name_Hall '-P 3 2c'
_cell_length_a 7.7480
_cell_length_b 7.7480
_cell_length_c 12.9059
_cell_angle_alpha 90.00
_cell_angle_beta 90.00
_cell_angle_gamma 120.00
loop_
_atom_site_label
_atom_site_type_symbol
_atom_site_fract_x
_atom_site_fract_y
_atom_site_fract_z
Ba1 Ba 0.3333 0.6667 0.2500
Pm1 Pm 0.3333 0.6667 0.7500
In1 In 0.0000 0.0000 0.0000
Cl1 Cl 0.0350 0.3782 0.6319


Entry 12:
# BaPuInCl6 (PBE-GGA, optimized geometry)
# Raw total energy = -5.197 eV per atom
# Mass density = 3.5 g/cm3
# Calculated volume = 664.88 Å³/cell
data_BaPuInCl6
_symmetry_space_group_name_H-M 'P -3 1 c'
_symmetry_Int_Tables_number 163
_symmetry_space_group_name_Hall '-P 3 2c'
_cell_length_a 7.7761
_cell_length_b 7.7761
_cell_length_c 12.6968
_cell_angle_alpha 90.00
_cell_angle_beta 90.00
_cell_angle_gamma 120.00
loop_
_atom_site_label
_atom_site_type_symbol
_atom_site_fract_x
_atom_site_fract_y
_atom_site_fract_z
Ba1 Ba 0.3333 0.6667 0.2500
Pu1 Pu 0.3333 0.6667 0.7500
In1 In 0.0000 0.0000 0.0000
Cl1 Cl 0.0352 0.3755 0.6325